The following is a PBE calculation of an optimized crystal structure of YCoRh, from Alexandria.

Properties
* theoretical density: 7.85 Mg/m³
* total energy: -7.118 eV/atom
* total magnetic moment: 0.600 μB per atom
* N(E_F): 6.3 states/eV/cell

CIF file:
```
data_YCoRh
_chemical_formula_sum 'Y2 Co2 Rh2'
_cell_length_a 3.320
_cell_length_b 3.320
_cell_length_c 9.629
_cell_angle_alpha 90.00
_cell_angle_beta 90.00
_cell_angle_gamma 90.00
_symmetry_space_group_name_H-M 'I 4 m m'
_symmetry_Int_Tables_number 107
_symmetry_space_group_name_Hall 'I 4 -2'
loop_
_atom_site_label
_atom_site_fract_x
_atom_site_fract_y
_atom_site_fract_z
Y1 0.000 0.000 0.000
Co1 0.000 0.000 0.695
Rh1 0.000 0.000 0.306
```